1.
Density functional theory data (PBE) for crystalline FeNiGe at its relaxed geometry.

Symmetry = P-62m, No. 189
Size of the total moment = 2.10 μB/f.u.
Calculated total energy = -0.462 Ry per atom
Mass density = 8.53 g/cm3

Cell lengths 5.895, 5.895, 3.634 Å; angles 90.00, 90.00, 120.00 degrees
Each line ends with the local moment (μB).
Positions (direct):
Fe  0.423  0.423  0.000  2.20
Fe  0.577  0.000  0.000  2.19
Fe  0.000  0.577  0.000  2.15
Ni  0.000  0.248  0.500  0.03
Ge  0.333  0.667  0.500  -0.08
Ge  0.000  0.000  0.000  -0.06
Ge  0.667  0.333  0.500  -0.08
Ni  0.248  0.000  0.500  0.03
Ni  0.752  0.752  0.500  0.04

2.
Density functional theory data (PBE) for crystalline FeNiGe at its relaxed geometry.

Symmetry = F-43m, No. 216
Size of the total moment = 3.50 μB/f.u.
Calculated total energy = -0.455 Ry per atom
Mass density = 7.28 g/cm3

Cell lengths 3.923, 3.923, 3.923 Å; angles 60.00, 60.00, 60.00 degrees
Positions (direct):
Ge  0.750  0.750  0.750
Ni  0.000  0.000  0.000
Fe  0.250  0.250  0.250